Crystalline SrCoO at its relaxed geometry, computed with PBE with a Hubbard U.

Unit cell a=4.4689 b=4.4689 c=7.5386 alpha=90.00 beta=90.00 gamma=120.00
Space group P6_3/mmc (No. 194)
One atom of each set of equivalent atoms:
Sr: 0.3333 0.6667 0.2500 (multiplicity 2)
Co: 0.0000 0.0000 0.0000 (multiplicity 2)
O: 0.0000 0.0000 0.2500 (multiplicity 2)

## Properties
- DFT total energy: -0.36608 Ry/atom
- DOS at the Fermi energy: 0.564 states/eV/atom